Material: YNpPdO6
Method: DFT, PBE-GGA
State: optimized geometry

Summary:
* DOS(E_F): 16.11 states/eV per cell
* formation energy without anion corrections: -2274 meV per atom
* mass density: 6.969 g/cm3
* total magnetization: 4.071 Bohr magnetons per cell
* VASP energy: -8.31 eV/atom

Unit cell a=5.3640 b=5.3640 c=10.1048 alpha=90.00 beta=90.00 gamma=120.00
Space group P-31c (No. 163)
Inequivalent atoms, fractional coordinates:
Y 0.0000 0.0000 0.0000 (multiplicity 2)
Np 0.3333 0.6667 0.2500 (multiplicity 2)
Pd 0.3333 0.6667 0.7500 (multiplicity 2)
O 0.0051 0.3480 0.1354 (multiplicity 12)